1.
Below is SrZrSe after structural relaxation, with properties calculated at the PBE level.

abc: 4.6111 4.6111 4.8792
angles: 90.00 90.00 120.00
Closest atoms and distances in Å follow each position.
Element x y z (fractional)
Sr: 0.6667 0.3333 0.3332  6 Se 3.61, 6 Zr 3.61
Se: 0.0000 0.0000 0.8334  3 Zr 2.66
Zr: 0.3333 0.6667 0.8333  3 Se 2.66

Polymorph energy (0 for the lowest one)   261.5 meV per atom

2.
Below is Sr2ZrSe after structural relaxation, with properties calculated at the PBE level.

abc: 6.7843 6.7843 6.7843
angles: 139.85 139.85 58.08
Closest atoms and distances in Å follow each position.
Element x y z (fractional)
Zr: 0.5000 0.5000 0.0000  4 Sr 3.29
Se: 0.7500 0.2500 0.5000  4 Sr 3.29
Sr: 0.2500 0.7500 0.5000  4 Se 3.29
Sr: 0.0000 0.0000 0.0000  4 Zr 3.29

3.
Below is SrZrSe after structural relaxation, with properties calculated at the PBE level.

abc: 4.9125 4.9125 4.9125
angles: 60.00 60.00 60.00
Closest atoms and distances in Å follow each position.
Element x y z (fractional)
Sr: 0.0000 0.0000 0.0000  4 Se 3.01
Zr: 0.5000 0.5000 0.5000  4 Se 3.01
Se: 0.7500 0.7500 0.7500  4 Zr 3.01, 4 Sr 3.01

Polymorph energy (0 for the lowest one)   419.8 meV per atom

4.
Below is Sr2ZrSe after structural relaxation, with properties calculated at the PBE level.

abc: 6.9301 6.9301 5.7987
angles: 65.49 65.49 31.08
Closest atoms and distances in Å follow each position.
Element x y z (fractional)
Sr: 0.9477 0.9477 0.0533  2 Se 3.20
Sr: 0.7569 0.7569 0.7426  4 Se 3.45-3.46, 4 Sr 3.70-3.71, 2 Zr 3.70-3.74
Zr: 0.5637 0.5637 0.4379  2 Se 2.75
Se: 0.2317 0.2317 0.2662  2 Zr 2.75

5.
Below is Sr3ZrSe after structural relaxation, with properties calculated at the PBE level.

abc: 5.9326 5.9326 5.9326
angles: 90.00 90.00 90.00
Closest atoms and distances in Å follow each position.
Element x y z (fractional)
Zr: 0.5000 0.5000 0.5000  12 Sr 4.19
Se: 0.0000 0.0000 0.0000  6 Sr 2.97
Sr: 0.0000 0.5000 0.0000  2 Se 2.97
Sr: 0.5000 0.0000 0.0000  2 Se 2.97
Sr: 0.0000 0.0000 0.5000  2 Se 2.97

Polymorph energy (0 for the lowest one)   0.0 meV per atom

6.
Below is Sr2ZrSe after structural relaxation, with properties calculated at the PBE level.

abc: 5.5275 5.5275 5.5275
angles: 60.00 60.00 60.00
Closest atoms and distances in Å follow each position.
Element x y z (fractional)
Sr: 0.0000 0.0000 0.0000  4 Zr 3.38, 4 Sr 3.38
Sr: 0.2500 0.2500 0.2500  4 Se 3.38, 4 Sr 3.38
Se: 0.5000 0.5000 0.5000  4 Sr 3.38, 4 Zr 3.38
Zr: 0.7500 0.7500 0.7500  4 Sr 3.38, 4 Se 3.38

7.
Below is SrZr2Se4 after structural relaxation, with properties calculated at the PBE level.

abc: 4.0329 6.7228 13.6293
angles: 90.00 90.00 107.45
Closest atoms and distances in Å follow each position.
Element x y z (fractional)
Sr: 0.3803 0.7606 0.2500  6 Se 3.09-3.13
Sr: 0.6197 0.2394 0.7500  6 Se 3.09-3.13
Se: 0.7669 0.5338 0.3894  3 Zr 2.75-2.83
Se: 0.9368 0.8736 0.7500  2 Zr 2.67
Se: 0.7669 0.5338 0.1106  3 Zr 2.75-2.83
Se: 0.2331 0.4662 0.8894  3 Zr 2.75-2.83
Se: 0.5000 0.0000 0.5000  4 Zr 2.68
Se: 0.2331 0.4662 0.6106  3 Zr 2.75-2.83
Se: 0.0632 0.1264 0.2500  2 Zr 2.67
Se: 0.5000 0.0000 0.0000  4 Zr 2.68
Zr: 0.1215 0.2430 0.0616  6 Se 2.67-2.83
Zr: 0.1215 0.2430 0.4384  6 Se 2.67-2.83
Zr: 0.8785 0.7570 0.9384  6 Se 2.67-2.83
Zr: 0.8785 0.7570 0.5616  6 Se 2.67-2.83

8.
Below is SrZrSe after structural relaxation, with properties calculated at the PBE level.

abc: 6.7711 6.7711 3.6180
angles: 74.51 74.50 30.99
Closest atoms and distances in Å follow each position.
Element x y z (fractional)
Zr: 0.6273 0.6273 0.3727  4 Se 2.81
Se: 0.0343 0.0343 0.9657  4 Zr 2.81
Sr: 0.3384 0.3384 0.6616  5 Se 3.55-3.81, 4 Sr 3.62, 5 Zr 3.62-3.68

Polymorph energy (0 for the lowest one)   66.8 meV per atom

9.
Below is Sr2ZrSe after structural relaxation, with properties calculated at the PBE level.

abc: 4.0667 5.5820 5.5820
angles: 90.00 90.00 90.00
Closest atoms and distances in Å follow each position.
Element x y z (fractional)
Se: 0.5000 0.0000 0.5000  8 Sr 3.45
Zr: 0.5000 0.5000 0.0000  8 Sr 3.45
Sr: 0.0000 0.0000 0.0000  4 Zr 3.45, 4 Se 3.45
Sr: 0.0000 0.5000 0.5000  4 Zr 3.45, 4 Se 3.45

10.
Below is SrZrSe after structural relaxation, with properties calculated at the PBE level.

abc: 3.8096 3.8096 6.7292
angles: 90.00 90.00 120.00
Closest atoms and distances in Å follow each position.
Element x y z (fractional)
Sr: 0.6667 0.3333 0.2893  3 Se 3.06
Se: 0.0000 0.0000 0.9741  3 Zr 2.72
Zr: 0.3333 0.6667 0.7366  3 Se 2.72

Polymorph energy (0 for the lowest one)   0.0 meV per atom

11.
Below is TaSe2 after structural relaxation, with properties calculated at the PBE level.

abc: 3.5544 7.2116 9.1716
angles: 90.00 90.00 90.00
Closest atoms and distances in Å follow each position.
Element x y z (fractional)
Ta: 0.2500 0.2489 0.0906  7 Se 2.65-2.94
Ta: 0.7500 0.7511 0.9094  7 Se 2.65-2.94
Ta: 0.7500 0.2511 0.5906  7 Se 2.65-2.94
Ta: 0.2500 0.7489 0.4094  7 Se 2.65-2.94
Se: 0.2500 0.5155 0.6403  3 Ta 2.65-2.71
Se: 0.7500 0.8715 0.6036  4 Ta 2.67-2.94
Se: 0.7500 0.3715 0.8964  4 Ta 2.67-2.94
Se: 0.7500 0.9845 0.1403  3 Ta 2.65-2.71
Se: 0.2500 0.1285 0.3964  4 Ta 2.67-2.94
Se: 0.2500 0.0155 0.8597  3 Ta 2.65-2.71
Se: 0.7500 0.4845 0.3597  3 Ta 2.65-2.71
Se: 0.2500 0.6285 0.1036  4 Ta 2.67-2.94

12.
Below is Ta2Se after structural relaxation, with properties calculated at the PBE level.

abc: 9.1015 9.1015 4.3378
angles: 90.00 90.00 157.44
Closest atoms and distances in Å follow each position.
Element x y z (fractional)
Ta: 0.0654 0.9346 0.7500  6 Ta 2.81-2.91, 2 Se 2.86
Ta: 0.5633 0.4367 0.2500  2 Se 2.60, 6 Ta 2.81-2.91
Ta: 0.4367 0.5633 0.7500  2 Se 2.60, 6 Ta 2.81-2.91
Ta: 0.9346 0.0654 0.2500  6 Ta 2.81-2.91, 2 Se 2.86
Se: 0.8303 0.1697 0.7500  4 Ta 2.60-2.86
Se: 0.1697 0.8303 0.2500  4 Ta 2.60-2.86

What formation energy without anion corrections values result from the calculations? In sequence: -0.47 -0.04 -0.32 -0.41 -0.17 0.23 -1.48 -0.67 -0.11 -0.74 -0.40 -0.30 eV/atom.
What N(E_F) values result from the calculations? In sequence: 2.9 4.4 1.8 4.0 7.5 4.8 5.5 2.5 4.8 1.9 7.6 1.6 states/eV per cell.